Entry 1:
{"formula": "ThPdSe4", "functional": "PBE", "state": "relaxed", "magmom_total_mub_per_fu": 0.000, "spacegroup": "P2_1/c (14)", "e_form_raw_kj_per_mol_atoms": -78.3, "dos_ef_per_ev_cell": 0.26, "lattice_angstrom": [[6.9036, 0.0000, 0.0000], [0.0000, 5.9218, 0.0000], [-1.4134, 0.0000, 7.8647]], "species": ["Th", "Th", "Pd", "Pd", "Se", "Se", "Se", "Se", "Se", "Se", "Se", "Se"], "frac_coords": [[0.0000, 0.0000, 0.0000], [0.0000, 0.5000, 0.5000], [0.5000, 0.0000, 0.5000], [0.5000, 0.5000, 0.0000], [0.1591, 0.0874, 0.3538], [0.1591, 0.4126, 0.8538], [0.3933, 0.6222, 0.4041], [0.3933, 0.8778, 0.9041], [0.6067, 0.1222, 0.0959], [0.6067, 0.3778, 0.5959], [0.8409, 0.5874, 0.1462], [0.8409, 0.9126, 0.6462]]}


Entry 2:
{"formula": "HfAl2Ag2", "functional": "PBE", "state": "relaxed", "magmom_total_mub_per_fu": 0.000, "spacegroup": "I4/mmm (139)", "relative_energy_mev_per_atom": 85.5, "dos_ef_per_ev_cell": 2.70, "ef_kcal_per_mol_atoms": 0.90, "lattice_angstrom": [[-1.9672, 1.9672, 5.9946], [1.9672, -1.9672, 5.9946], [1.9672, 1.9672, -5.9946]], "species": ["Hf", "Al", "Al", "Ag", "Ag"], "frac_coords": [[0.0000, 0.0000, 0.0000], [0.2500, 0.7500, 0.5000], [0.7500, 0.2500, 0.5000], [0.3913, 0.3913, 0.0000], [0.6087, 0.6087, 0.0000]]}


Entry 3:
{"formula": "MnTeWN2", "functional": "PBE", "state": "relaxed", "magmom_total_mub_per_fu": 2.983, "spacegroup": "P4/mmm (123)", "relative_energy_mev_per_atom": 953.8, "e_form_raw_kj_per_mol_atoms": 134.9, "dos_ef_per_ev_cell": 3.84, "lattice_angstrom": [[3.7948, 0.0000, 0.0000], [0.0000, 3.7948, 0.0000], [0.0000, 0.0000, 5.3403]], "species": ["Mn", "Te", "W", "N", "N"], "frac_coords": [[0.0000, 0.0000, 0.0000], [0.0000, 0.0000, 0.5000], [0.5000, 0.5000, 0.5000], [0.0000, 0.5000, 0.0000], [0.5000, 0.0000, 0.0000]]}


Entry 4:
{"formula": "KLi2PdPb", "functional": "PBE", "state": "relaxed", "magmom_total_mub_per_fu": 0.000, "spacegroup": "P4/mmm (123)", "dos_ef_per_ev_cell": 2.09, "ef_kcal_per_mol_atoms": -4.34, "lattice_angstrom": [[5.1468, 0.0000, 0.0000], [0.0000, 5.1468, 0.0000], [0.0000, 0.0000, 5.2194]], "species": ["K", "Li", "Li", "Pd", "Pb"], "frac_coords": [[0.0000, 0.0000, 0.0000], [0.0000, 0.5000, 0.5000], [0.5000, 0.0000, 0.5000], [0.5000, 0.5000, 0.5000], [0.5000, 0.5000, 0.0000]]}


Entry 5:
{"formula": "SmDyY2Se4", "functional": "PBE", "state": "relaxed", "magmom_total_mub_per_fu": 0.000, "spacegroup": "P2/m (10)", "e_form_raw_kj_per_mol_atoms": -170.9, "dos_ef_per_ev_cell": 4.78, "lattice_angstrom": [[7.1164, 0.0000, 0.0000], [0.0000, 4.0579, 0.0000], [-2.3197, 0.0000, 6.7782]], "species": ["Sm", "Dy", "Y", "Y", "Se", "Se", "Se", "Se"], "frac_coords": [[0.0000, 0.0000, 0.0000], [0.0000, 0.5000, 0.5000], [0.5000, 0.0000, 0.5000], [0.5000, 0.5000, 0.0000], [0.2518, 0.0000, 0.7464], [0.2549, 0.5000, 0.2558], [0.7451, 0.5000, 0.7442], [0.7482, 0.0000, 0.2536]]}


Entry 6:
{"formula": "LiCaOs2", "functional": "PBE", "state": "relaxed", "magmom_total_mub_per_fu": 0.000, "spacegroup": "F-43m (216)", "relative_energy_mev_per_atom": 103.9, "dos_ef_per_ev_cell": 3.94, "ef_kcal_per_mol_atoms": 9.66, "lattice_angstrom": [[0.0000, 3.1765, 3.1765], [3.1765, 0.0000, 3.1765], [3.1765, 3.1765, 0.0000]], "species": ["Li", "Ca", "Os", "Os"], "frac_coords": [[0.0000, 0.0000, 0.0000], [0.2500, 0.2500, 0.2500], [0.5000, 0.5000, 0.5000], [0.7500, 0.7500, 0.7500]]}


Entry 7:
{"formula": "HfMgC3", "functional": "PBE", "state": "relaxed", "magmom_total_mub_per_fu": 0.000, "spacegroup": "Pm-3m (221)", "relative_energy_mev_per_atom": 0.0, "dos_ef_per_ev_cell": 1.50, "ef_kcal_per_mol_atoms": 38.52, "lattice_angstrom": [[4.2723, 0.0000, 0.0000], [0.0000, 4.2723, 0.0000], [0.0000, 0.0000, 4.2723]], "species": ["Hf", "Mg", "C", "C", "C"], "frac_coords": [[0.0000, 0.0000, 0.0000], [0.5000, 0.5000, 0.5000], [0.0000, 0.0000, 0.5000], [0.0000, 0.5000, 0.0000], [0.5000, 0.0000, 0.0000]]}


Entry 8:
{"formula": "SmHoErSc", "functional": "PBE", "state": "relaxed", "magmom_total_mub_per_fu": 0.000, "spacegroup": "Cm (8)", "relative_energy_mev_per_atom": 0.0, "dos_ef_per_ev_cell": 6.87, "ef_kcal_per_mol_atoms": 2.25, "lattice_angstrom": [[6.0253, -2.8004, 0.0000], [6.0253, 2.8004, 0.0000], [-1.1695, 0.0000, 3.5693]], "species": ["Sm", "Ho", "Er", "Sc"], "frac_coords": [[0.0000, 0.0000, 0.0000], [0.7302, 0.7302, 0.2278], [0.2680, 0.2680, 0.7652], [0.4986, 0.4986, 0.4969]]}


Entry 9:
{"formula": "HfTiZn", "functional": "PBE", "state": "relaxed", "magmom_total_mub_per_fu": 0.000, "spacegroup": "P4/nmm (129)", "relative_energy_mev_per_atom": 0.0, "dos_ef_per_ev_cell": 6.01, "ef_kcal_per_mol_atoms": -1.57, "lattice_angstrom": [[3.0097, 0.0000, 0.0000], [0.0000, 3.0097, 0.0000], [0.0000, 0.0000, 11.9498]], "species": ["Hf", "Hf", "Ti", "Ti", "Zn", "Zn"], "frac_coords": [[0.2500, 0.2500, 0.2385], [0.7500, 0.7500, 0.7615], [0.2500, 0.2500, 0.5832], [0.7500, 0.7500, 0.4168], [0.2500, 0.2500, 0.9333], [0.7500, 0.7500, 0.0667]]}


Entry 10:
{"formula": "BaLi2PrBr8", "functional": "PBE", "state": "relaxed", "magmom_total_mub_per_fu": 1.123, "spacegroup": "P-3 (147)", "e_form_raw_kj_per_mol_atoms": -147.5, "dos_ef_per_ev_cell": 14.24, "lattice_angstrom": [[7.0965, 0.0000, 0.0000], [-3.5482, 6.1457, 0.0000], [0.0000, 0.0000, 9.4042]], "species": ["Ba", "Li", "Li", "Pr", "Br", "Br", "Br", "Br", "Br", "Br", "Br", "Br"], "frac_coords": [[0.0000, 0.0000, 0.0000], [0.3333, 0.6667, 0.7391], [0.6667, 0.3333, 0.2609], [0.0000, 0.0000, 0.5000], [0.0091, 0.6928, 0.2983], [0.3072, 0.3163, 0.2983], [0.3163, 0.0091, 0.7017], [0.3333, 0.6667, 0.0040], [0.6667, 0.3333, 0.9960], [0.6837, 0.9909, 0.2983], [0.6928, 0.6837, 0.7017], [0.9909, 0.3072, 0.7017]]}


Entry 11:
{"formula": "Y5Zn2Sn", "functional": "PBE", "state": "relaxed", "magmom_total_mub_per_fu": 0.000, "spacegroup": "I4/mcm (140)", "dos_ef_per_ev_cell": 13.92, "ef_kcal_per_mol_atoms": -9.94, "lattice_angstrom": [[-4.0444, 4.0444, 6.5000], [4.0444, -4.0444, 6.5000], [4.0444, 4.0444, -6.5000]], "species": ["Y", "Y", "Y", "Y", "Y", "Y", "Y", "Y", "Y", "Y", "Zn", "Zn", "Zn", "Zn", "Sn", "Sn"], "frac_coords": [[0.0000, 0.0000, 0.0000], [0.0107, 0.5107, 0.8124], [0.1983, 0.0107, 0.5000], [0.3017, 0.8017, 0.8124], [0.4893, 0.3017, 0.5000], [0.5000, 0.5000, 0.0000], [0.5107, 0.6983, 0.5000], [0.6983, 0.1983, 0.1876], [0.8017, 0.9893, 0.5000], [0.9893, 0.4893, 0.1876], [0.1346, 0.3654, 0.5000], [0.3654, 0.8654, 0.2308], [0.6346, 0.1346, 0.7692], [0.8654, 0.6346, 0.5000], [0.2500, 0.2500, 0.0000], [0.7500, 0.7500, 0.0000]]}


Entry 12:
{"formula": "NbIrN2F", "functional": "PBE", "state": "relaxed", "magmom_total_mub_per_fu": 0.108, "spacegroup": "P4/mmm (123)", "relative_energy_mev_per_atom": 0.0, "e_form_raw_kj_per_mol_atoms": 43.8, "dos_ef_per_ev_cell": 5.45, "lattice_angstrom": [[4.0766, 0.0000, 0.0000], [0.0000, 4.0766, 0.0000], [0.0000, 0.0000, 3.8744]], "species": ["Nb", "Ir", "N", "N", "F"], "frac_coords": [[0.0000, 0.0000, 0.0000], [0.5000, 0.5000, 0.5000], [0.0000, 0.5000, 0.0000], [0.5000, 0.0000, 0.0000], [0.0000, 0.0000, 0.5000]]}


Entry 13:
{"formula": "PmPr3Ho7", "functional": "PBE", "state": "relaxed", "magmom_total_mub_per_fu": 0.000, "spacegroup": "P-1 (2)", "relative_energy_mev_per_atom": 0.0, "dos_ef_per_ev_cell": 17.09, "ef_kcal_per_mol_atoms": 2.79, "lattice_angstrom": [[6.5477, 0.0000, 0.0000], [-0.5897, 6.6626, 0.0000], [-1.3095, -1.4876, 8.4321]], "species": ["Pm", "Pr", "Pr", "Pr", "Ho", "Ho", "Ho", "Ho", "Ho", "Ho", "Ho"], "frac_coords": [[0.0000, 0.0000, 0.0000], [0.2991, 0.4370, 0.3389], [0.5000, 0.0000, 0.5000], [0.7009, 0.5630, 0.6611], [0.0000, 0.5000, 0.0000], [0.0584, 0.2073, 0.6442], [0.2258, 0.7232, 0.7159], [0.4862, 0.2348, 0.9163], [0.5138, 0.7652, 0.0837], [0.7742, 0.2768, 0.2841], [0.9416, 0.7927, 0.3558]]}


Entry 14:
{"formula": "InPbCl2", "functional": "PBE", "state": "relaxed", "magmom_total_mub_per_fu": 0.000, "spacegroup": "Cmmm (65)", "relative_energy_mev_per_atom": 125.3, "e_form_raw_kj_per_mol_atoms": -56.3, "dos_ef_per_ev_cell": 1.04, "lattice_angstrom": [[3.5825, -4.3180, 0.0000], [3.5825, 4.3180, 0.0000], [0.0000, 0.0000, 3.5107]], "species": ["In", "Pb", "Cl", "Cl"], "frac_coords": [[0.0000, 0.0000, 0.0000], [0.5000, 0.5000, 0.0000], [0.0000, 0.5000, 0.5000], [0.5000, 0.0000, 0.5000]]}


Entry 15:
{"formula": "Ca2SiGeSe", "functional": "PBE", "state": "relaxed", "magmom_total_mub_per_fu": 0.000, "spacegroup": "P4/mmm (123)", "e_form_raw_kj_per_mol_atoms": 4.7, "dos_ef_per_ev_cell": 4.94, "lattice_angstrom": [[5.6601, 0.0000, 0.0000], [0.0000, 5.6601, 0.0000], [0.0000, 0.0000, 4.6683]], "species": ["Ca", "Ca", "Si", "Ge", "Se"], "frac_coords": [[0.0000, 0.5000, 0.0000], [0.5000, 0.0000, 0.0000], [0.0000, 0.0000, 0.0000], [0.5000, 0.5000, 0.5000], [0.0000, 0.0000, 0.5000]]}


Entry 16:
{"formula": "TaCoMoW", "functional": "PBE", "state": "relaxed", "magmom_total_mub_per_fu": 1.656, "spacegroup": "F-43m (216)", "dos_ef_per_ev_cell": 3.12, "ef_kcal_per_mol_atoms": 0.63, "lattice_angstrom": [[0.0000, 3.1303, 3.1303], [3.1303, 0.0000, 3.1303], [3.1303, 3.1303, 0.0000]], "species": ["Ta", "Co", "Mo", "W"], "frac_coords": [[0.0000, 0.0000, 0.0000], [0.7500, 0.7500, 0.7500], [0.2500, 0.2500, 0.2500], [0.5000, 0.5000, 0.5000]]}


Entry 17:
{"formula": "SmCo3Cu", "functional": "PBE", "state": "relaxed", "magmom_total_mub_per_fu": 3.926, "spacegroup": "Imma (74)", "dos_ef_per_ev_cell": 10.59, "ef_kcal_per_mol_atoms": 1.18, "lattice_angstrom": [[-2.3701, 3.3114, 4.8010], [2.3701, -3.3114, 4.8010], [2.3701, 3.3114, -4.8010]], "species": ["Sm", "Sm", "Co", "Co", "Co", "Co", "Co", "Co", "Cu", "Cu"], "frac_coords": [[0.0000, 0.0000, 0.0000], [0.5000, 0.0000, 0.5000], [0.0000, 0.0000, 0.5000], [0.0000, 0.5000, 0.0000], [0.2712, 0.7023, 0.5689], [0.3665, 0.2977, 0.0689], [0.6335, 0.7023, 0.9311], [0.7288, 0.2977, 0.4311], [0.2230, 0.4730, 0.7500], [0.7770, 0.5270, 0.2500]]}


Entry 18:
{"formula": "ZnFe2HRu", "functional": "PBE", "state": "relaxed", "magmom_total_mub_per_fu": 6.143, "spacegroup": "P4/mmm (123)", "e_tot_ev_per_atom": -6.14, "dos_ef_per_ev_cell": 3.08, "lattice_angstrom": [[3.7623, 0.0000, 0.0000], [0.0000, 3.7623, 0.0000], [0.0000, 0.0000, 3.8437]], "species": ["Zn", "Fe", "Fe", "H", "Ru"], "frac_coords": [[0.0000, 0.0000, 0.0000], [0.0000, 0.5000, 0.5000], [0.5000, 0.0000, 0.5000], [0.5000, 0.5000, 0.5000], [0.5000, 0.5000, 0.0000]]}


Entry 19:
{"formula": "Cs2As3", "functional": "PBE", "state": "relaxed", "magmom_total_mub_per_fu": 0.000, "spacegroup": "Fmmm (69)", "ef_kcal_per_mol_atoms": -10.75, "lattice_angstrom": [[0.0000, 5.3211, 8.0059], [4.9268, 0.0000, 8.0059], [4.9268, 5.3211, 0.0000]], "species": ["Cs", "Cs", "Cs", "Cs", "As", "As", "As", "As", "As", "As"], "frac_coords": [[0.2317, 0.7683, 0.2317], [0.2500, 0.2500, 0.2500], [0.7500, 0.7500, 0.7500], [0.7683, 0.2317, 0.7683], [0.2120, 0.6370, 0.7880], [0.3480, 0.3480, 0.6520], [0.3630, 0.7880, 0.6370], [0.6370, 0.2120, 0.3630], [0.6520, 0.6520, 0.3480], [0.7880, 0.3630, 0.2120]]}


Entry 20:
{"formula": "CsNaTaBr6", "functional": "PBE", "state": "relaxed", "magmom_total_mub_per_fu": 1.000, "spacegroup": "P-31c (163)", "e_form_raw_kj_per_mol_atoms": -116.7, "dos_ef_per_ev_cell": 16.33, "lattice_angstrom": [[7.4210, 0.0000, 0.0000], [-3.7105, 6.4268, 0.0000], [0.0000, 0.0000, 15.7262]], "species": ["Cs", "Cs", "Na", "Na", "Ta", "Ta", "Br", "Br", "Br", "Br", "Br", "Br", "Br", "Br", "Br", "Br", "Br", "Br"], "frac_coords": [[0.0000, 0.0000, 0.0000], [0.0000, 0.0000, 0.5000], [0.3333, 0.6667, 0.2500], [0.6667, 0.3333, 0.7500], [0.3333, 0.6667, 0.7500], [0.6667, 0.3333, 0.2500], [0.0416, 0.3915, 0.6542], [0.0416, 0.6501, 0.8458], [0.3499, 0.3915, 0.8458], [0.3499, 0.9584, 0.6542], [0.3915, 0.0416, 0.1542], [0.3915, 0.3499, 0.3458], [0.6085, 0.6501, 0.6542], [0.6085, 0.9584, 0.8458], [0.6501, 0.0416, 0.3458], [0.6501, 0.6085, 0.1542], [0.9584, 0.3499, 0.1542], [0.9584, 0.6085, 0.3458]]}


Entry 21:
{"formula": "MgAgRu2", "functional": "PBE", "state": "relaxed", "magmom_total_mub_per_fu": 0.000, "spacegroup": "Cm (8)", "dos_ef_per_ev_cell": 3.98, "ef_kcal_per_mol_atoms": 4.58, "lattice_angstrom": [[4.4820, -1.4149, 0.0000], [4.4820, 1.4149, 0.0000], [-0.7471, 0.0000, 4.9389]], "species": ["Mg", "Ag", "Ru", "Ru"], "frac_coords": [[0.0000, 0.0000, 0.0000], [0.7530, 0.7530, 0.2073], [0.2450, 0.2450, 0.6908], [0.5053, 0.5053, 0.5266]]}


Entry 22:
{"formula": "NbCuRh3", "functional": "PBE", "state": "relaxed", "magmom_total_mub_per_fu": 0.000, "spacegroup": "Pm-3m (221)", "relative_energy_mev_per_atom": 764.5, "dos_ef_per_ev_cell": 3.34, "ef_kcal_per_mol_atoms": 21.01, "lattice_angstrom": [[4.4108, 0.0000, 0.0000], [0.0000, 4.4108, 0.0000], [0.0000, 0.0000, 4.4108]], "species": ["Nb", "Cu", "Rh", "Rh", "Rh"], "frac_coords": [[0.0000, 0.0000, 0.0000], [0.5000, 0.5000, 0.5000], [0.0000, 0.5000, 0.5000], [0.5000, 0.0000, 0.5000], [0.5000, 0.5000, 0.0000]]}


Entry 23:
{"formula": "La3Ag2Pb", "functional": "PBE", "state": "relaxed", "magmom_total_mub_per_fu": 0.630, "spacegroup": "Cmmm (65)", "dos_ef_per_ev_cell": 6.93, "ef_kcal_per_mol_atoms": -8.24, "lattice_angstrom": [[2.6641, -7.9929, 0.0000], [2.6641, 7.9929, 0.0000], [0.0000, 0.0000, 4.1509]], "species": ["La", "La", "La", "Ag", "Ag", "Pb"], "frac_coords": [[0.0000, 0.0000, 0.0000], [0.3292, 0.6708, 0.0000], [0.6708, 0.3292, 0.0000], [0.1672, 0.8328, 0.5000], [0.8328, 0.1672, 0.5000], [0.5000, 0.5000, 0.5000]]}


Entry 24:
{"formula": "TaBeAl", "functional": "PBE", "state": "relaxed", "magmom_total_mub_per_fu": 0.000, "spacegroup": "Fmm2 (42)", "relative_energy_mev_per_atom": 277.2, "dos_ef_per_ev_cell": 1.56, "ef_kcal_per_mol_atoms": -0.79, "lattice_angstrom": [[0.0000, 2.1941, 5.0313], [1.9167, 0.0000, 5.0313], [1.9167, 2.1941, 0.0000]], "species": ["Ta", "Be", "Al"], "frac_coords": [[0.0000, 0.0000, 0.0000], [0.6638, 0.6638, 0.3362], [0.3033, 0.3033, 0.6967]]}


Entry 25:
{"formula": "LiSm8In2", "functional": "PBE", "state": "relaxed", "magmom_total_mub_per_fu": 0.000, "spacegroup": "C2/m (12)", "dos_ef_per_ev_cell": 10.88, "ef_kcal_per_mol_atoms": -2.92, "lattice_angstrom": [[9.0947, -2.6673, 0.0000], [9.0947, 2.6673, 0.0000], [-1.2198, 0.0000, 6.9651]], "species": ["Li", "Sm", "Sm", "Sm", "Sm", "Sm", "Sm", "Sm", "Sm", "In", "In"], "frac_coords": [[0.0000, 0.0000, 0.0000], [0.0946, 0.0946, 0.4553], [0.1576, 0.1576, 0.9445], [0.3124, 0.3124, 0.7323], [0.4745, 0.4745, 0.2478], [0.5255, 0.5255, 0.7522], [0.6876, 0.6876, 0.2677], [0.8424, 0.8424, 0.0555], [0.9054, 0.9054, 0.5447], [0.2981, 0.2981, 0.2762], [0.7019, 0.7019, 0.7238]]}


Entry 26:
{"formula": "K2CuAu", "functional": "PBE", "state": "relaxed", "magmom_total_mub_per_fu": 0.170, "spacegroup": "C2/m (12)", "relative_energy_mev_per_atom": 195.7, "ef_kcal_per_mol_atoms": 3.14, "lattice_angstrom": [[4.0655, -2.3561, 0.0000], [4.0655, 2.3561, 0.0000], [-2.7330, 0.0000, 8.1097]], "species": ["K", "K", "Cu", "Au"], "frac_coords": [[0.2492, 0.2492, 0.2475], [0.7508, 0.7508, 0.7525], [0.0000, 0.0000, 0.5000], [0.5000, 0.5000, 0.0000]]}